Record 1
{"formula": "Os2RuPb", "functional": "PBE", "state": "optimized geometry", "sg": "P4/mmm, No. 123", "final_energy_ev_per_cell": -31.609, "formation_enthalpy_0k_ev_per_atom": 0.959, "total_magnetization_mub_per_cell": 0.002, "lattice": [[3.8301, 0.0000, 0.0000], [0.0000, 3.8301, 0.0000], [0.0000, 0.0000, 4.4820]], "species": ["Os", "Os", "Ru", "Pb"], "frac_coords": [[0.0000, 0.5000, 0.0000], [0.5000, 0.0000, 0.0000], [0.0000, 0.0000, 0.5000], [0.5000, 0.5000, 0.5000]]}


Record 2
{"formula": "Er7Tm12Tl", "functional": "PBE", "state": "optimized geometry", "sg": "R-3, No. 148", "final_energy_ev_per_cell": -84.212, "formation_enthalpy_0k_ev_per_atom": 0.188, "total_magnetization_mub_per_cell": 0.000, "lattice": [[5.8774, 3.3933, 5.1770], [-5.8774, 3.3933, 5.1770], [0.0000, -6.7866, 5.1770]], "species": ["Er", "Er", "Er", "Er", "Er", "Er", "Er", "Tm", "Tm", "Tm", "Tm", "Tm", "Tm", "Tm", "Tm", "Tm", "Tm", "Tm", "Tm", "Tl"], "frac_coords": [[0.0000, 0.0000, 0.0000], [0.1055, 0.3514, 0.4271], [0.3514, 0.4271, 0.1055], [0.4271, 0.1055, 0.3514], [0.5729, 0.8945, 0.6486], [0.6486, 0.5729, 0.8945], [0.8945, 0.6486, 0.5729], [0.9998, 0.3605, 0.8842], [0.0002, 0.6395, 0.1158], [0.1158, 0.0002, 0.6395], [0.2420, 0.7494, 0.3614], [0.2506, 0.6386, 0.7580], [0.3614, 0.2420, 0.7494], [0.3605, 0.8842, 0.9998], [0.6395, 0.1158, 0.0002], [0.6386, 0.7580, 0.2506], [0.7494, 0.3614, 0.2420], [0.7580, 0.2506, 0.6386], [0.8842, 0.9998, 0.3605], [0.5000, 0.5000, 0.5000]]}


Record 3
{"formula": "Ni3S2", "functional": "PBE", "state": "optimized geometry", "sg": "Cmcm, No. 63", "final_energy_ev_per_cell": -53.573, "total_magnetization_mub_per_cell": 0.000, "lattice": [[1.6130, -5.5536, 0.0000], [1.6130, 5.5536, 0.0000], [0.0000, 0.0000, 6.8362]], "species": ["Ni", "Ni", "Ni", "Ni", "Ni", "Ni", "S", "S", "S", "S"], "frac_coords": [[0.0382, 0.9618, 0.7500], [0.1659, 0.8341, 0.0660], [0.1659, 0.8341, 0.4340], [0.8341, 0.1659, 0.5660], [0.8341, 0.1659, 0.9340], [0.9618, 0.0382, 0.2500], [0.2402, 0.7598, 0.7500], [0.5000, 0.5000, 0.0000], [0.5000, 0.5000, 0.5000], [0.7598, 0.2402, 0.2500]]}